[1]
This record from the Alexandria database describes a relaxed Ta2GaAs crystal. The functional is GGA-PBE.

The value obtained for the density of states at the Fermi level is 0.91 states/eV/atom. Its polymorph energy (0 for the lowest one) is 0.955 eV per atom. The calculated formation energy comes out at 95 kJ/mol of atoms. Its raw total energy is -6.865 eV/atom.

It has space group I-42d (No. 122), with a = 5.774 Å, b = 5.774 Å, c = 11.875 Å, α = 90.00°, β = 90.00° and γ = 90.00°. The asymmetric unit holds Ta at (0.247, 0.250, 0.125), Ga at (0.000, 0.000, 0.000) and As at (0.000, 0.000, 0.500).

=====

[2]
This record from the Alexandria database describes a relaxed NaCd5Pb5 crystal. The functional is GGA-PBE.

The value obtained for the density of states at the Fermi level is 0.57 states/eV/atom. The calculated formation energy comes out at 4 kJ/mol of atoms. Its raw total energy is -2.182 eV/atom.

It has space group P-6m2 (No. 187), with a = 5.6774 Å, b = 5.6774 Å, c = 11.1457 Å, α = 90.00°, β = 90.00° and γ = 120.00°. The asymmetric unit holds Na at (0.0000, 0.0000, 0.0000), Cd at (0.0051, 0.5025, 0.5000), Cd at (0.6667, 0.3333, 0.2663), Pb at (0.0000, 0.0000, 0.3197), Pb at (0.3333, 0.6667, 0.1586) and Pb at (0.6667, 0.3333, 0.0000).

=====

> Among the records above, which one has the lowest raw total energy?

Ta2GaAs